This record from Alexandria describes a relaxed structure of Mg2Pd2Au. The functional is PBE. Values from VASP.

Excess energy over the best structure of this formula in the dataset ... 18 meV per atom
Calculated formation energy ... -2.87 eV per formula unit
Total magnetic moment ... 0.000 μB per formula unit

Cell and atoms, written as Quantum ESPRESSO input:
```
&SYSTEM
  ibrav = 0, nat = 5, ntyp = 3
/
ATOMIC_SPECIES
Mg 24.30 Mg.upf
Pd 106.42 Pd.upf
Au 196.97 Au.upf
CELL_PARAMETERS angstrom
4.0705 0.0000 0.0000
2.0145 4.4317 0.0000
2.0208 0.2147 4.6253
ATOMIC_POSITIONS angstrom
Mg 1.0120 0.5927 0.9763
Mg 7.0939 4.0537 3.6490
Pd 3.0391 1.4092 2.8364
Pd 5.0668 3.2371 1.7888
Au 3.0425 2.2158 0.0000
```